# Ba6SnP2Br3 PBE-GGA optimized geometry
# uncorrected formation energy: -1.40 eV/atom
# total magnetization: 0.01 μB/atom
data_Ba6SnP2Br3
_cell_length_a 21.482
_cell_length_b 4.663
_cell_length_c 10.015
_cell_angle_alpha 90.00
_cell_angle_beta 103.79
_cell_angle_gamma 90.00
_symmetry_space_group_name_H-M 'C 1 2/m 1'
_symmetry_Int_Tables_number 12
_symmetry_space_group_name_Hall '-C 2y'
loop_
_atom_site_label
_atom_site_fract_x
_atom_site_fract_y
_atom_site_fract_z
Ba1 0.015 0.000 0.260
Ba2 0.166 0.500 0.118
Ba3 0.178 0.500 0.566
Sn1 0.000 0.500 0.000
P1 0.169 0.000 0.342
Br1 0.000 0.500 0.500
Br2 0.169 0.000 0.832

# Ba6TeP2Br3 PBE-GGA optimized geometry
# uncorrected formation energy: -1.62 eV/atom
# total magnetization: 0.00 μB/atom
data_Ba6TeP2Br3
_cell_length_a 20.941
_cell_length_b 4.763
_cell_length_c 9.691
_cell_angle_alpha 90.00
_cell_angle_beta 103.41
_cell_angle_gamma 90.00
_symmetry_space_group_name_H-M 'C 1 2/m 1'
_symmetry_Int_Tables_number 12
_symmetry_space_group_name_Hall '-C 2y'
loop_
_atom_site_label
_atom_site_fract_x
_atom_site_fract_y
_atom_site_fract_z
Ba1 0.013 0.000 0.256
Ba2 0.169 0.500 0.115
Ba3 0.175 0.500 0.563
Te1 0.000 0.500 0.000
P1 0.167 0.000 0.335
Br1 0.000 0.500 0.500
Br2 0.164 0.000 0.834

# Ba6Te3PBr2 PBE-GGA optimized geometry
# uncorrected formation energy: -1.69 eV/atom
# total magnetization: 0.00 μB/atom
data_Ba6Te3PBr2
_cell_length_a 8.492
_cell_length_b 14.681
_cell_length_c 8.371
_cell_angle_alpha 90.00
_cell_angle_beta 109.63
_cell_angle_gamma 90.00
_symmetry_space_group_name_H-M 'C 1 2/m 1'
_symmetry_Int_Tables_number 12
_symmetry_space_group_name_Hall '-C 2y'
loop_
_atom_site_label
_atom_site_fract_x
_atom_site_fract_y
_atom_site_fract_z
Ba1 0.228 0.000 0.255
Ba2 0.236 0.155 0.741
Te1 0.000 0.174 0.000
Te2 0.000 0.500 0.000
P1 0.000 0.000 0.500
Br1 0.000 0.335 0.500